## SrBeFe3 (GGA-PBEsol)

Data for an optimized crystal structure of SrBeFe3.

Cell: 4.5554 4.5554 4.5554 Å, 90.00 90.00 90.00°
Atoms (fractional coordinates):
Sr (0.0000, 0.0000, 0.0000)
Be (0.5000, 0.5000, 0.5000)
Fe (0.0000, 0.0000, 0.5000)
Fe (0.0000, 0.5000, 0.0000)
Fe (0.5000, 0.0000, 0.0000)

Calculated formation energy ... 2.6336 eV/atom
Size of the total moment ... 6.99 μB per cell
Electronic total energy ... -19.56 eV per cell